No. 1
Compound: KTe2IBr
Source: the Alexandria database
Functional: PBE
Structure: relaxed

Computed properties:
The final energy is -1.620 eV/atom. The value obtained for the uncorrected formation energy is 500 meV/atom.

Unit cell a=6.854 b=6.854 c=6.357 alpha=90.00 beta=90.00 gamma=90.00
Space group P4/mmm (No. 123)
Unique sites:
K 0.000 0.000 0.000 (multiplicity 1)
Te 0.000 0.500 0.000 (multiplicity 2)
I 0.000 0.000 0.500 (multiplicity 1)
Br 0.500 0.500 0.500 (multiplicity 1)

---

No. 2
Compound: KTeI2Br
Source: the Alexandria database
Functional: PBE
Structure: relaxed

Computed properties:
The final energy is -2.414 eV/atom. The value obtained for the uncorrected formation energy is -612 meV/atom.

Unit cell a=6.334 b=6.334 c=5.587 alpha=90.00 beta=90.00 gamma=90.00
Space group P4/mmm (No. 123)
Unique sites:
K 0.000 0.000 0.000 (multiplicity 1)
Te 0.500 0.500 0.500 (multiplicity 1)
I 0.000 0.500 0.500 (multiplicity 2)
Br 0.500 0.500 0.000 (multiplicity 1)

---

No. 3
Compound: KTeI2Br
Source: the Alexandria database
Functional: PBE
Structure: relaxed

Computed properties:
The final energy is -1.535 eV/atom. The value obtained for the uncorrected formation energy is 267 meV/atom.

Unit cell a=6.544 b=6.544 c=7.030 alpha=90.00 beta=90.00 gamma=90.00
Space group P4/mmm (No. 123)
Unique sites:
K 0.000 0.000 0.000 (multiplicity 1)
Te 0.000 0.000 0.500 (multiplicity 1)
I 0.000 0.500 0.000 (multiplicity 2)
Br 0.500 0.500 0.500 (multiplicity 1)

---

No. 4
Compound: KTe2IBr
Source: the Alexandria database
Functional: PBE
Structure: relaxed

Computed properties:
The final energy is -2.153 eV/atom. The value obtained for the uncorrected formation energy is -33 meV/atom.

Unit cell a=5.545 b=5.545 c=8.132 alpha=90.00 beta=90.00 gamma=90.00
Space group P4/mmm (No. 123)
Unique sites:
K 0.000 0.000 0.000 (multiplicity 1)
Te 0.000 0.500 0.500 (multiplicity 2)
I 0.500 0.500 0.000 (multiplicity 1)
Br 0.500 0.500 0.500 (multiplicity 1)

---

No. 5
Compound: KTeI2Br
Source: the Alexandria database
Functional: PBE
Structure: relaxed

Computed properties:
The final energy is -1.980 eV/atom. The value obtained for the uncorrected formation energy is -178 meV/atom.

Unit cell a=5.994 b=5.994 c=5.784 alpha=90.00 beta=90.00 gamma=90.00
Space group P4/mmm (No. 123)
Unique sites:
K 0.000 0.000 0.000 (multiplicity 1)
Te 0.500 0.500 0.000 (multiplicity 1)
I 0.000 0.500 0.500 (multiplicity 2)
Br 0.500 0.500 0.500 (multiplicity 1)

---

No. 6
Compound: K6TeI2Br2
Source: the Alexandria database
Functional: PBE
Structure: relaxed

Computed properties:
The final energy is -2.873 eV/atom. The value obtained for the uncorrected formation energy is -1403 meV/atom.

Unit cell a=8.639 b=14.906 c=8.731 alpha=90.00 beta=110.64 gamma=90.00
Space group C2/m (No. 12)
Unique sites:
K 0.225 0.176 0.212 (multiplicity 8)
K 0.239 0.000 0.775 (multiplicity 4)
Te 0.000 0.000 0.000 (multiplicity 2)
I 0.000 0.174 0.500 (multiplicity 4)
Br 0.000 0.343 0.000 (multiplicity 4)

---

No. 7
Compound: K2TeI2Br4
Source: the Alexandria database
Functional: PBE
Structure: relaxed

Computed properties:
The final energy is -2.599 eV/atom. The value obtained for the uncorrected formation energy is -918 meV/atom.

Unit cell a=13.687 b=7.854 c=8.067 alpha=90.00 beta=123.93 gamma=90.00
Space group C2/m (No. 12)
Unique sites:
K 0.249 0.000 0.211 (multiplicity 4)
Te 0.000 0.500 0.000 (multiplicity 2)
I 0.248 0.000 0.662 (multiplicity 4)
Br 0.049 0.255 0.814 (multiplicity 8)

---

No. 8
Compound: KTeI2Br
Source: the Alexandria database
Functional: PBE
Structure: relaxed

Computed properties:
The final energy is -1.879 eV/atom. The value obtained for the uncorrected formation energy is -77 meV/atom.

Unit cell a=6.034 b=6.034 c=6.287 alpha=90.00 beta=90.00 gamma=90.00
Space group P4/mmm (No. 123)
Unique sites:
K 0.000 0.000 0.000 (multiplicity 1)
Te 0.500 0.500 0.000 (multiplicity 1)
I 0.000 0.500 0.500 (multiplicity 2)
Br 0.000 0.000 0.500 (multiplicity 1)